This record from the Alexandria database describes a geometry-optimized AcCuAu3 structure. The functional is PBE.

Values from the calculation:
VASP energy = -0.1502 hartree per atom
ΔE to the lowest computed polymorph = 0.00 eV per formula unit
N(E_F) = 7.120 states/eV per cell
Volume = 445.53 Å³ per cell
Space group = No. 62
Energy relative to the elements = -0.480 eV/atom

abc: 4.730 8.971 10.498
angles: 90.00 90.00 90.00
Fractional positions:
Au  0.750  0.104  0.185
Ac  0.750  0.290  0.500
Au  0.750  0.934  0.594
Cu  0.750  0.392  0.152
Au  0.250  0.066  0.406
Cu  0.250  0.108  0.652
Au  0.250  0.566  0.094
Au  0.250  0.896  0.815
Au  0.250  0.396  0.685
Au  0.750  0.625  0.697
Ac  0.250  0.210  0.000
Au  0.250  0.875  0.197
Cu  0.250  0.608  0.848
Au  0.750  0.604  0.315
Au  0.750  0.434  0.906
Au  0.750  0.125  0.803
Ac  0.750  0.790  0.000
Ac  0.250  0.710  0.500
Cu  0.750  0.892  0.348
Au  0.250  0.375  0.303